This record from the Alexandria database describes a relaxed structure of CrPtBr2. The functional is PBE-GGA.

abc: 6.317 3.649 8.634
angles: 90.00 103.11 90.00
Space group Cm (No. 8)
Unique sites:
Cr  0.000  0.000  0.000 x2
Pt  0.213  0.500  0.151 x2
Br  0.274  0.000  0.809 x2
Br  0.445  0.000  0.362 x2

Values from the calculation:
Calculated total energy: -4.90 eV per atom
Relative energy among the computed polymorphs: 0 meV/atom
Raw formation energy: -149 meV per atom
ρ: 7.0 Mg/m³



This record from the Alexandria database describes a relaxed structure of CrPtBr2. The functional is PBE-GGA.

abc: 3.912 6.720 7.107
angles: 90.00 90.00 90.00
Space group Immm (No. 71)
Unique sites:
Cr  0.000  0.000  0.000 x2
Pt  0.000  0.000  0.500 x2
Br  0.000  0.500  0.247 x4

Values from the calculation:
Calculated total energy: -4.38 eV per atom
Relative energy among the computed polymorphs: 521 meV/atom
Raw formation energy: 372 meV per atom
ρ: 7.2 Mg/m³